The following is a PBE calculation of an optimized crystal structure of LiYRhS2, from Alexandria.

Lattice parameters (Å, degrees): 5.2849 5.2849 5.0297 90.00 90.00 90.00
Positions (direct):
1 Y 0.0000 0.0000 0.0000
2 S 0.0000 0.5000 0.0000
3 S 0.5000 0.0000 0.0000
4 Rh 0.0000 0.0000 0.5000
5 Li 0.5000 0.5000 0.5000

The formation energy from raw total energies is -0.47 eV/f.u. The space group is P4/mmm (123). The calculation puts the total magnetic moment at 0.9 μB/f.u.